This record from Alexandria describes a geometry-optimized NaNi2O3 structure. The functional is PBE with a Hubbard U.

Cell and atoms, written as POSCAR:
```
NaNi2O3
1.0
3.003 0.000 0.000
-1.502 2.601 0.000
0.000 0.002 7.719
Na Ni O
1 2 3
Cartesian
3.003 0.001 3.859 Na
0.000 1.734 1.246 Ni
1.501 0.868 6.473 Ni
0.000 1.735 5.468 O
0.000 0.000 0.000 O
1.501 0.868 2.250 O
```

Calculated values
* calculated volume: 10.05 Å³/atom
* total magnetic moment: 0.500 μB/atom
* electronic total energy: -4.635 eV per atom